Entry 1:
8
Lattice="4.510 0.000 0.000 -2.255 3.906 0.000 0.000 0.000 8.898" Properties=species:S:1:pos:R:3 comment="Tm2InSnIr4 PBE optimized geometry" dft_energy_ev_per_atom=-6.904 magmom_total_mub_per_atom=0.002 rho_g_cm3=14.20 pbc="T T T"
Tm 0.000 2.604 2.201
Tm 2.255 1.302 6.697
In 0.000 0.000 0.000
Sn 0.000 0.000 4.449
Ir 0.000 2.604 5.344
Ir 0.000 2.604 7.990
Ir 2.255 1.302 0.908
Ir 2.255 1.302 3.555

Entry 2:
16
Lattice="6.520 0.000 0.000 0.000 6.520 0.000 0.000 0.000 6.520" Properties=species:S:1:pos:R:3 comment="ZrTlFeTc PBE optimized geometry" de_polymorph_mev_per_atom=146 magmom_total_mub_per_atom=0.961 rho_g_cm3=10.77 pbc="T T T"
Zr 0.000 0.000 0.000
Zr 0.000 3.260 3.260
Zr 3.260 0.000 3.260
Zr 3.260 3.260 0.000
Tl 1.630 1.630 1.630
Tl 1.630 4.890 4.890
Tl 4.890 1.630 4.890
Tl 4.890 4.890 1.630
Fe 0.000 0.000 3.260
Fe 0.000 3.260 0.000
Fe 3.260 0.000 0.000
Fe 3.260 3.260 3.260
Tc 1.630 1.630 4.890
Tc 1.630 4.890 1.630
Tc 4.890 1.630 1.630
Tc 4.890 4.890 4.890

Entry 3:
14
Lattice="0.000 5.989 5.989 5.989 0.000 5.989 5.989 5.989 0.000" Properties=species:S:1:pos:R:3 comment="Er2TlSe4 PBE optimized geometry" dft_energy_ev_per_atom=-5.027 magmom_total_mub_per_atom=0.000 rho_g_cm3=6.61 pbc="T T T"
Er 0.000 0.000 0.000
Er 2.994 2.994 0.000
Er 2.994 0.000 2.994
Er 0.000 2.994 2.994
Tl 4.491 4.491 4.491
Tl 7.486 7.486 7.486
Se 9.137 5.834 5.834
Se 2.840 2.840 2.840
Se 6.143 6.143 2.840
Se 6.143 2.840 6.143
Se 5.834 9.137 5.834
Se 5.834 5.834 9.137
Se 9.137 9.137 9.137
Se 2.840 6.143 6.143

Entry 4:
10
Lattice="2.613 1.509 4.819 -2.613 1.509 4.819 0.000 -3.017 4.819" Properties=species:S:1:pos:R:3 comment="TbAlO3 PBE optimized geometry" dft_energy_ev_per_atom=-7.796 magmom_total_mub_per_atom=0.000 rho_g_cm3=6.82 pbc="T T T"
Tb 0.000 0.000 1.887
Tb 0.000 0.000 12.570
Al 0.000 0.000 4.973
Al 0.000 0.000 9.484
O -1.072 -1.294 5.902
O -1.656 0.282 8.555
O -0.584 1.575 5.902
O 0.584 -1.575 8.555
O 1.656 -0.282 5.902
O 1.072 1.294 8.555

Entry 5:
16
Lattice="8.966 0.000 0.000 -4.483 7.764 0.000 0.000 0.000 6.358" Properties=species:S:1:pos:R:3 comment="Pr5As3 PBE optimized geometry" dft_energy_ev_per_atom=-5.809 magmom_total_mub_per_atom=0.003 rho_g_cm3=6.97 pbc="T T T"
Pr -1.145 1.983 1.590
Pr -3.338 5.782 4.769
Pr 2.290 0.000 1.590
Pr 1.145 1.983 4.769
Pr 0.000 5.176 0.000
Pr 0.000 5.176 3.179
Pr 4.483 2.588 0.000
Pr 4.483 2.588 3.179
Pr 6.676 0.000 4.769
Pr 3.338 5.782 1.590
As -1.711 2.963 4.769
As -2.772 4.801 1.590
As 3.422 0.000 4.769
As 1.711 2.963 1.590
As 5.544 0.000 1.590
As 2.772 4.801 4.769

Entry 6:
11
Lattice="-1.980 7.224 4.601 1.980 -7.224 4.601 1.980 7.224 -4.601" Properties=species:S:1:pos:R:3 comment="Lu7Zn2Se2 PBE optimized geometry" dft_energy_ev_per_atom=-4.431 magmom_total_mub_per_atom=0.007 rho_g_cm3=9.55 pbc="T T T"
Lu 0.000 0.000 0.000
Lu 1.980 2.631 -1.059
Lu 1.980 -1.955 2.363
Lu 1.980 1.955 2.363
Lu 1.980 5.451 0.874
Lu 0.000 4.594 3.541
Lu 0.000 1.773 5.475
Zn 0.000 3.383 0.783
Zn 0.000 11.066 0.783
Se 0.000 0.000 3.207
Se 0.000 7.224 2.197

Entry 7:
16
Lattice="6.397 0.000 0.000 0.000 6.397 0.000 0.000 0.000 6.397" Properties=species:S:1:pos:R:3 comment="MgZrZnNi PBE optimized geometry" de_polymorph_mev_per_atom=0 magmom_total_mub_per_atom=0.001 rho_g_cm3=6.08 pbc="T T T"
Mg 0.000 0.000 0.000
Mg 0.000 3.198 3.198
Mg 3.198 0.000 3.198
Mg 3.198 3.198 0.000
Zr 0.000 0.000 3.198
Zr 0.000 3.198 0.000
Zr 3.198 0.000 0.000
Zr 3.198 3.198 3.198
Zn 1.599 1.599 1.599
Zn 1.599 4.798 4.798
Zn 4.798 1.599 4.798
Zn 4.798 4.798 1.599
Ni 1.599 1.599 4.798
Ni 1.599 4.798 1.599
Ni 4.798 1.599 1.599
Ni 4.798 4.798 4.798

Entry 8:
9
Lattice="5.310 0.000 0.000 -2.655 4.599 0.000 0.000 0.000 7.211" Properties=species:S:1:pos:R:3 comment="InRe3P5 PBE optimized geometry" dft_energy_ev_per_atom=-7.068 magmom_total_mub_per_atom=0.017 rho_g_cm3=7.81 pbc="T T T"
In 0.000 0.000 0.000
Re -1.328 2.299 3.605
Re 2.655 0.000 3.605
Re 1.328 2.299 3.605
P 0.000 0.000 3.605
P 0.000 3.066 1.662
P 0.000 3.066 5.549
P 2.655 1.533 1.662
P 2.655 1.533 5.549

Entry 9:
12
Lattice="1.774 -7.030 0.000 1.774 7.030 0.000 0.000 0.000 9.638" Properties=species:S:1:pos:R:3 comment="NaZrIrS3 PBE optimized geometry" dft_energy_ev_per_atom=-6.185 magmom_total_mub_per_atom=0.002 rho_g_cm3=5.56 pbc="T T T"
Na 1.774 3.693 7.228
Na 1.774 -3.693 2.409
Zr 0.000 0.000 0.000
Zr 0.000 0.000 4.819
Ir 1.774 0.227 2.409
Ir 1.774 -0.227 7.228
S 1.774 5.775 2.409
S 1.774 1.843 0.666
S 1.774 1.843 4.153
S 1.774 -1.843 5.485
S 1.774 -1.843 8.972
S 1.774 -5.775 7.228

Entry 10:
8
Lattice="3.413 0.000 0.000 0.000 6.057 0.000 0.000 0.000 7.141" Properties=species:S:1:pos:R:3 comment="AsIrAuO PBE optimized geometry" de_polymorph_mev_per_atom=0 magmom_total_mub_per_atom=0.005 rho_g_cm3=10.80 pbc="T T T"
As 0.000 1.301 0.000
As 0.000 4.757 3.570
Ir 1.707 2.883 0.598
Ir 1.707 3.174 4.168
Au 0.000 0.964 4.687
Au 0.000 5.093 1.117
O 1.707 2.306 2.466
O 1.707 3.752 6.037

Entry 11:
24
Lattice="13.099 0.000 0.000 0.000 3.984 0.000 0.000 0.000 10.616" Properties=species:S:1:pos:R:3 comment="LiLuPbS3 PBE optimized geometry" de_polymorph_mev_per_atom=29 magmom_total_mub_per_atom=0.001 rho_g_cm3=5.82 pbc="T T T"
Li 0.214 0.996 0.954
Li 6.335 2.988 6.262
Li 6.763 0.996 4.354
Li 12.885 2.988 9.662
Lu 0.172 2.988 3.616
Lu 6.378 0.996 8.924
Lu 6.721 2.988 1.692
Lu 12.927 0.996 7.000
Pb 3.126 2.988 10.310
Pb 3.423 0.996 5.002
Pb 9.676 2.988 5.614
Pb 9.972 0.996 0.306
S 1.154 0.996 9.341
S 1.401 2.988 5.991
S 1.768 0.996 2.777
S 4.781 2.988 8.085
S 5.148 0.996 0.683
S 5.396 2.988 4.034
S 7.703 0.996 6.582
S 7.950 2.988 9.933
S 8.317 0.996 2.531
S 11.331 2.988 7.839
S 11.698 0.996 4.625
S 11.945 2.988 1.274

Entry 12:
8
Lattice="5.071 0.000 0.000 0.000 5.071 0.000 0.000 0.000 11.190" Properties=species:S:1:pos:R:3 comment="RbPr4As3 PBE optimized geometry" dft_energy_ev_per_atom=-5.037 magmom_total_mub_per_atom=0.044 rho_g_cm3=5.04 pbc="T T T"
Rb 0.000 0.000 0.000
Pr 0.000 2.535 3.751
Pr 0.000 2.535 7.440
Pr 2.535 0.000 3.751
Pr 2.535 0.000 7.440
As 0.000 0.000 5.595
As 2.535 2.535 2.207
As 2.535 2.535 8.984